! Sr2AlTc | the Alexandria database | PBE-GGA | optimized geometry; values from VASP
! Energy of formation   60.62 kJ per mole of atoms
! Crystal system   monoclinic
! Symmetry   P2/m, No. 10
! Density of states at the Fermi level   5.02 states/eV/cell
! Volume   110.2 Å³ per cell
&SYSTEM
  ibrav = 0, nat = 4, ntyp = 3
/
ATOMIC_SPECIES
Sr 87.62 Sr.upf
Al 26.98 Al.upf
Tc 98.00 Tc.upf
CELL_PARAMETERS angstrom
3.568 0.000 0.000
0.000 4.221 0.000
-0.013 0.000 7.321
ATOMIC_POSITIONS crystal
Sr 0.000 0.000 0.239
Sr 0.000 0.000 0.761
Al 0.500 0.500 0.500
Tc 0.500 0.500 0.000


! Sr2AlTc | the Alexandria database | PBE-GGA | optimized geometry; values from VASP
! Energy of formation   49.08 kJ per mole of atoms
! Crystal system   tetragonal
! Symmetry   I-42d, No. 122
! Density of states at the Fermi level   8.55 states/eV/cell
! Volume   302.7 Å³ per cell
&SYSTEM
  ibrav = 0, nat = 8, ntyp = 3
/
ATOMIC_SPECIES
Sr 87.62 Sr.upf
Al 26.98 Al.upf
Tc 98.00 Tc.upf
CELL_PARAMETERS angstrom
-5.577 5.577 2.433
5.577 -5.577 2.433
5.577 5.577 -2.433
ATOMIC_POSITIONS crystal
Sr 0.375 0.057 0.182
Sr 0.807 0.625 0.682
Sr 0.875 0.193 0.818
Sr 0.943 0.125 0.318
Al 0.250 0.750 0.500
Al 0.500 0.500 0.000
Tc 0.000 0.000 0.000
Tc 0.750 0.250 0.500


! SrAl2Tc | the Alexandria database | PBE-GGA | optimized geometry; values from VASP
! Energy of formation   7.38 kJ per mole of atoms
! Crystal system   tetragonal
! Relative energy among the computed polymorphs   0.2112 eV per atom
! Symmetry   P4mm, No. 99
! Density of states at the Fermi level   4.49 states/eV/cell
! Volume   86.7 Å³ per cell
&SYSTEM
  ibrav = 0, nat = 4, ntyp = 3
/
ATOMIC_SPECIES
Sr 87.62 Sr.upf
Al 26.98 Al.upf
Tc 98.00 Tc.upf
CELL_PARAMETERS angstrom
3.435 0.000 0.000
0.000 3.435 0.000
0.000 0.000 7.348
ATOMIC_POSITIONS crystal
Sr 0.000 0.000 0.000
Al 0.000 0.000 0.430
Al 0.500 0.500 0.653
Tc 0.500 0.500 0.316


! SrAl2Tc | the Alexandria database | PBE-GGA | optimized geometry; values from VASP
! Energy of formation   28.05 kJ per mole of atoms
! Crystal system   cubic
! Relative energy among the computed polymorphs   0.4255 eV per atom
! Symmetry   Fm-3m, No. 225
! Density of states at the Fermi level   6.77 states/eV/cell
! Volume   77.7 Å³ per cell
&SYSTEM
  ibrav = 0, nat = 4, ntyp = 3
/
ATOMIC_SPECIES
Sr 87.62 Sr.upf
Al 26.98 Al.upf
Tc 98.00 Tc.upf
CELL_PARAMETERS angstrom
0.000 3.387 3.387
3.387 0.000 3.387
3.387 3.387 0.000
ATOMIC_POSITIONS crystal
Sr 0.000 0.000 0.000
Al 0.250 0.250 0.250
Al 0.750 0.750 0.750
Tc 0.500 0.500 0.500


! SrAl2Tc | the Alexandria database | PBE-GGA | optimized geometry; values from VASP
! Energy of formation   33.84 kJ per mole of atoms
! Crystal system   orthorhombic
! Relative energy among the computed polymorphs   0.4855 eV per atom
! Symmetry   Imm2, No. 44
! Density of states at the Fermi level   2.54 states/eV/cell
! Volume   79.7 Å³ per cell
&SYSTEM
  ibrav = 0, nat = 4, ntyp = 3
/
ATOMIC_SPECIES
Sr 87.62 Sr.upf
Al 26.98 Al.upf
Tc 98.00 Tc.upf
CELL_PARAMETERS angstrom
-1.466 2.594 5.244
1.466 -2.594 5.244
1.466 2.594 -5.244
ATOMIC_POSITIONS crystal
Sr 0.000 0.000 0.000
Al 0.469 0.469 0.000
Al 0.710 0.210 0.500
Tc 0.270 0.770 0.500


! SrAlTc4 | the Alexandria database | PBE-GGA | optimized geometry; values from VASP
! Energy of formation   38.25 kJ per mole of atoms
! Crystal system   cubic
! Symmetry   F-43m, No. 216
! Density of states at the Fermi level   6.65 states/eV/cell
! Volume   107.2 Å³ per cell
&SYSTEM
  ibrav = 0, nat = 6, ntyp = 3
/
ATOMIC_SPECIES
Sr 87.62 Sr.upf
Al 26.98 Al.upf
Tc 98.00 Tc.upf
CELL_PARAMETERS angstrom
0.000 3.770 3.770
3.770 0.000 3.770
3.770 3.770 0.000
ATOMIC_POSITIONS crystal
Sr 0.000 0.000 0.000
Al 0.250 0.250 0.250
Tc 0.128 0.624 0.624
Tc 0.624 0.128 0.624
Tc 0.624 0.624 0.128
Tc 0.624 0.624 0.624


! Sr2AlTc | the Alexandria database | PBE-GGA | optimized geometry; values from VASP
! Energy of formation   55.13 kJ per mole of atoms
! Crystal system   orthorhombic
! Symmetry   F222, No. 22
! Density of states at the Fermi level   1.85 states/eV/cell
! Volume   96.9 Å³ per cell
&SYSTEM
  ibrav = 0, nat = 4, ntyp = 3
/
ATOMIC_SPECIES
Sr 87.62 Sr.upf
Al 26.98 Al.upf
Tc 98.00 Tc.upf
CELL_PARAMETERS angstrom
0.000 3.648 3.656
3.631 0.000 3.656
3.631 3.648 0.000
ATOMIC_POSITIONS crystal
Sr 0.000 0.000 0.000
Sr 0.250 0.250 0.250
Al 0.750 0.750 0.750
Tc 0.500 0.500 0.500


! Sr2AlTc | the Alexandria database | PBE-GGA | optimized geometry; values from VASP
! Energy of formation   25.86 kJ per mole of atoms
! Crystal system   orthorhombic
! Symmetry   Amm2, No. 38
! Density of states at the Fermi level   3.67 states/eV/cell
! Volume   121.8 Å³ per cell
&SYSTEM
  ibrav = 0, nat = 4, ntyp = 3
/
ATOMIC_SPECIES
Sr 87.62 Sr.upf
Al 26.98 Al.upf
Tc 98.00 Tc.upf
CELL_PARAMETERS angstrom
4.381 0.000 0.000
0.000 2.366 5.876
0.000 -2.366 5.876
ATOMIC_POSITIONS crystal
Sr 0.000 0.000 0.000
Sr 0.500 0.282 0.282
Al 0.500 0.591 0.591
Tc 0.000 0.688 0.688